VASP calculation (PBE) on a geometry-optimized Ta3Mn4Al structure.

Cell and atoms, written as extended XYZ:
```
8
Lattice="-1.008 0.976 -2.725 -2.120 -2.214 -0.009 -7.652 7.302 5.445" Properties=species:S:1:pos:R:3 pbc="T T T"
Mn -6.747 6.438 4.801
Mn -0.905 0.864 0.644
Mn -2.849 2.718 2.027
Mn -4.804 4.584 3.418
Al -1.564 -0.619 -1.367
Ta -3.409 1.142 -0.054
Ta -5.390 3.032 1.355
Ta -7.370 4.922 2.765
```

## Properties
- Energy relative to the elements: -1.8 eV/f.u.
- Density of states at the Fermi level: 0.85 states/eV per atom
- Spin magnetization: 1.64 μB/f.u.
- Total energy: -9.72 eV/atom